1.
# TlPbBr

An optimized crystal structure of TlPbBr (PBE, the Alexandria database).

The structure in CIF format:
```
data_TlPbBr
_chemical_formula_sum 'Tl2 Pb2 Br2'
_symmetry_space_group_name_H-M 'P 1 m 1'
_symmetry_Int_Tables_number 6
_cell_length_a 3.831
_cell_length_b 3.874
_cell_length_c 13.442
_cell_angle_alpha 90.00
_cell_angle_beta 97.96
_cell_angle_gamma 90.00
loop_
_symmetry_equiv_pos_as_xyz
'x,y,z'
'x,-y,z'
loop_
_atom_site_label
_atom_site_fract_x
_atom_site_fract_y
_atom_site_fract_z
Tl1 0.000 0.000 0.000
Tl2 0.153 0.000 0.316
Pb1 0.411 0.500 0.817
Pb2 0.833 0.000 0.659
Br1 0.572 0.500 0.151
Br2 0.724 0.500 0.463
```

Summary:
M_tot in Bohr magnetons per cell: 0.0
ΔE_f (raw) in meV per atom: -414
Offset from the most stable computed form in meV per atom: 2
Theoretical density in g cm⁻³: 8.26

2.
# TlPbBr2

An optimized crystal structure of TlPbBr2 (PBE, the Alexandria database).

The structure in CIF format:
```
data_TlPbBr2
_chemical_formula_sum 'Tl3 Pb3 Br6'
_symmetry_space_group_name_H-M 'R -3 m'
_symmetry_Int_Tables_number 166
_symmetry_space_group_name_Hall '-R 3 2"'
_cell_length_a 4.0051
_cell_length_b 4.0051
_cell_length_c 28.3202
_cell_angle_alpha 90.00
_cell_angle_beta 90.00
_cell_angle_gamma 120.00
loop_
_atom_site_label
_atom_site_fract_x
_atom_site_fract_y
_atom_site_fract_z
Tl1 0.0000 0.0000 0.0000
Pb1 0.0000 0.0000 0.5000
Br1 0.0000 0.0000 0.2486
```

Summary:
M_tot in Bohr magnetons per cell: 0.0
ΔE_f (raw) in meV per atom: -582
Offset from the most stable computed form in meV per atom: 56
Theoretical density in g cm⁻³: 7.24

3.
# TlPb2Br

An optimized crystal structure of TlPb2Br (PBE, the Alexandria database).

The structure in CIF format:
```
data_TlPb2Br
_chemical_formula_sum 'Tl3 Pb6 Br3'
_symmetry_space_group_name_H-M 'R -3 m'
_symmetry_Int_Tables_number 166
_symmetry_space_group_name_Hall '-R 3 2"'
_cell_length_a 3.6285
_cell_length_b 3.6285
_cell_length_c 32.3502
_cell_angle_alpha 90.00
_cell_angle_beta 90.00
_cell_angle_gamma 120.00
loop_
_atom_site_label
_atom_site_fract_x
_atom_site_fract_y
_atom_site_fract_z
Tl1 0.0000 0.0000 0.0000
Pb1 0.0000 0.0000 0.2440
Br1 0.0000 0.0000 0.5000
```

Summary:
M_tot in Bohr magnetons per cell: 0.0
ΔE_f (raw) in meV per atom: -159
Offset from the most stable computed form in meV per atom: 80
Theoretical density in g cm⁻³: 9.44

4.
# TlPbBr2

An optimized crystal structure of TlPbBr2 (PBE, the Alexandria database).

The structure in CIF format:
```
data_TlPbBr2
_chemical_formula_sum 'Tl1 Pb1 Br2'
_symmetry_space_group_name_H-M 'P m m m'
_symmetry_Int_Tables_number 47
_cell_length_a 3.773
_cell_length_b 4.279
_cell_length_c 8.430
_cell_angle_alpha 90.00
_cell_angle_beta 90.00
_cell_angle_gamma 90.00
loop_
_symmetry_equiv_pos_as_xyz
'x,y,z'
'-x,-y,-z'
'-x,-y,z'
'x,y,-z'
'x,-y,-z'
'-x,y,z'
'-x,y,-z'
'x,-y,z'
loop_
_atom_site_label
_atom_site_fract_x
_atom_site_fract_y
_atom_site_fract_z
Tl1 0.000 0.000 0.000
Pb1 0.500 0.000 0.500
Br1 0.500 0.500 0.233
```

Summary:
M_tot in Bohr magnetons per cell: 0.0
ΔE_f (raw) in meV per atom: -638
Offset from the most stable computed form in meV per atom: 0
Theoretical density in g cm⁻³: 6.97

5.
# TlPbBr

An optimized crystal structure of TlPbBr (PBE, the Alexandria database).

The structure in CIF format:
```
data_TlPbBr
_chemical_formula_sum 'Tl4 Pb4 Br4'
_symmetry_space_group_name_H-M 'I m m 2'
_symmetry_Int_Tables_number 44
_cell_length_a 3.829
_cell_length_b 5.495
_cell_length_c 18.936
_cell_angle_alpha 90.00
_cell_angle_beta 90.00
_cell_angle_gamma 90.00
loop_
_symmetry_equiv_pos_as_xyz
'x,y,z'
'-x,-y,z'
'-x,y,z'
'x,-y,z'
'x+1/2,y+1/2,z+1/2'
'-x+1/2,-y+1/2,z+1/2'
'-x+1/2,y+1/2,z+1/2'
'x+1/2,-y+1/2,z+1/2'
loop_
_atom_site_label
_atom_site_fract_x
_atom_site_fract_y
_atom_site_fract_z
Tl1 0.000 0.000 0.000
Tl2 0.000 0.500 0.153
Pb1 0.000 0.000 0.335
Pb2 0.000 0.000 0.810
Br1 0.000 0.000 0.492
Br2 0.000 0.500 0.666
```

Summary:
M_tot in Bohr magnetons per cell: 0.0
ΔE_f (raw) in meV per atom: -386
Offset from the most stable computed form in meV per atom: 31
Theoretical density in g cm⁻³: 8.19

6.
# TlPbBr

An optimized crystal structure of TlPbBr (PBE, the Alexandria database).

The structure in CIF format:
```
data_TlPbBr
_chemical_formula_sum 'Tl2 Pb2 Br2'
_symmetry_space_group_name_H-M 'I 4 m m'
_symmetry_Int_Tables_number 107
_symmetry_space_group_name_Hall 'I 4 -2'
_cell_length_a 4.021
_cell_length_b 4.021
_cell_length_c 11.625
_cell_angle_alpha 90.00
_cell_angle_beta 90.00
_cell_angle_gamma 90.00
loop_
_atom_site_label
_atom_site_fract_x
_atom_site_fract_y
_atom_site_fract_z
Tl1 0.000 0.000 0.000
Pb1 0.000 0.000 0.655
Br1 0.000 0.000 0.318
```

Summary:
M_tot in Bohr magnetons per cell: 0.0
ΔE_f (raw) in meV per atom: -216
Offset from the most stable computed form in meV per atom: 201
Theoretical density in g cm⁻³: 8.69

7.
# Tl2PbBr5

An optimized crystal structure of Tl2PbBr5 (PBE, the Alexandria database).

The structure in CIF format:
```
data_Tl2PbBr5
_chemical_formula_sum 'Tl8 Pb4 Br20'
_symmetry_space_group_name_H-M 'C m c m'
_symmetry_Int_Tables_number 63
_symmetry_space_group_name_Hall '-C 2c 2'
_cell_length_a 5.984
_cell_length_b 14.896
_cell_length_c 15.265
_cell_angle_alpha 90.00
_cell_angle_beta 90.00
_cell_angle_gamma 90.00
loop_
_atom_site_label
_atom_site_fract_x
_atom_site_fract_y
_atom_site_fract_z
Tl1 0.000 0.149 0.063
Pb1 0.000 0.194 0.750
Br1 0.000 0.053 0.618
Br2 0.000 0.266 0.250
Br3 0.000 0.327 0.577
```

Summary:
M_tot in Bohr magnetons per cell: 0.0
ΔE_f (raw) in meV per atom: -737
Offset from the most stable computed form in meV per atom: 0
Theoretical density in g cm⁻³: 4.96

8.
# Tl4PbBr6

An optimized crystal structure of Tl4PbBr6 (PBE, the Alexandria database).

The structure in CIF format:
```
data_Tl4PbBr6
_chemical_formula_sum 'Tl24 Pb6 Br36'
_symmetry_space_group_name_H-M 'R -3 c'
_symmetry_Int_Tables_number 167
_symmetry_space_group_name_Hall '-R 3 2"c'
_cell_length_a 13.2354
_cell_length_b 13.2354
_cell_length_c 16.1519
_cell_angle_alpha 90.00
_cell_angle_beta 90.00
_cell_angle_gamma 120.00
loop_
_atom_site_label
_atom_site_fract_x
_atom_site_fract_y
_atom_site_fract_z
Tl1 0.0000 0.0000 0.2500
Tl2 0.0000 0.3704 0.2500
Pb1 0.0000 0.0000 0.0000
Br1 0.0362 0.2021 0.3915
```

Summary:
M_tot in Bohr magnetons per cell: 0.0
ΔE_f (raw) in meV per atom: -869
Theoretical density in g cm⁻³: 6.12

9.
# TlPbBr2

An optimized crystal structure of TlPbBr2 (PBE, the Alexandria database).

The structure in CIF format:
```
data_TlPbBr2
_chemical_formula_sum 'Tl4 Pb4 Br8'
_symmetry_space_group_name_H-M 'I -4 2 d'
_symmetry_Int_Tables_number 122
_symmetry_space_group_name_Hall 'I -4 2bw'
_cell_length_a 5.866
_cell_length_b 5.866
_cell_length_c 19.022
_cell_angle_alpha 90.00
_cell_angle_beta 90.00
_cell_angle_gamma 90.00
loop_
_atom_site_label
_atom_site_fract_x
_atom_site_fract_y
_atom_site_fract_z
Tl1 0.000 0.000 0.000
Pb1 0.000 0.000 0.500
Br1 0.220 0.250 0.625
```

Summary:
M_tot in Bohr magnetons per cell: 0.0
ΔE_f (raw) in meV per atom: -441
Offset from the most stable computed form in meV per atom: 198
Theoretical density in g cm⁻³: 5.80

10.
# TlPbBr2

An optimized crystal structure of TlPbBr2 (PBE, the Alexandria database).

The structure in CIF format:
```
data_TlPbBr2
_chemical_formula_sum 'Tl2 Pb2 Br4'
_symmetry_space_group_name_H-M 'C m m 2'
_symmetry_Int_Tables_number 35
_cell_length_a 4.550
_cell_length_b 6.496
_cell_length_c 9.656
_cell_angle_alpha 90.00
_cell_angle_beta 90.00
_cell_angle_gamma 90.00
loop_
_symmetry_equiv_pos_as_xyz
'x,y,z'
'-x,-y,z'
'-x,y,z'
'x,-y,z'
'x+1/2,y+1/2,z'
'-x+1/2,-y+1/2,z'
'-x+1/2,y+1/2,z'
'x+1/2,-y+1/2,z'
loop_
_atom_site_label
_atom_site_fract_x
_atom_site_fract_y
_atom_site_fract_z
Tl1 0.000 0.000 0.000
Pb1 0.000 0.500 0.272
Br1 0.000 0.000 0.464
Br2 0.000 0.500 0.813
```

Summary:
M_tot in Bohr magnetons per cell: 0.0
ΔE_f (raw) in meV per atom: -425
Offset from the most stable computed form in meV per atom: 213
Theoretical density in g cm⁻³: 6.65

11.
# TlPb2Br5

An optimized crystal structure of TlPb2Br5 (PBE, the Alexandria database).

The structure in CIF format:
```
data_TlPb2Br5
_chemical_formula_sum 'Tl4 Pb8 Br20'
_symmetry_space_group_name_H-M 'P 1 21/c 1'
_symmetry_Int_Tables_number 14
_cell_length_a 11.156
_cell_length_b 8.303
_cell_length_c 15.323
_cell_angle_alpha 90.00
_cell_angle_beta 112.04
_cell_angle_gamma 90.00
loop_
_symmetry_equiv_pos_as_xyz
'x,y,z'
'-x,-y,-z'
'-x,y+1/2,-z+1/2'
'x,-y+1/2,z+1/2'
loop_
_atom_site_label
_atom_site_fract_x
_atom_site_fract_y
_atom_site_fract_z
Tl1 0.000 0.000 0.000
Tl2 0.500 0.000 0.000
Pb1 0.082 0.002 0.378
Pb2 0.418 0.003 0.622
Br1 0.039 0.179 0.202
Br2 0.149 0.647 0.086
Br3 0.250 0.229 0.000
Br4 0.351 0.647 0.914
Br5 0.462 0.178 0.798
```

Summary:
M_tot in Bohr magnetons per cell: 0.0
ΔE_f (raw) in meV per atom: -895
Offset from the most stable computed form in meV per atom: 4
Theoretical density in g cm⁻³: 5.14

12.
# TlPb3Br7

An optimized crystal structure of TlPb3Br7 (PBE, the Alexandria database).

The structure in CIF format:
```
data_TlPb3Br7
_chemical_formula_sum 'Tl2 Pb6 Br14'
_symmetry_space_group_name_H-M 'C 1 2/m 1'
_symmetry_Int_Tables_number 12
_cell_length_a 9.899
_cell_length_b 11.211
_cell_length_c 7.583
_cell_angle_alpha 90.00
_cell_angle_beta 110.49
_cell_angle_gamma 90.00
loop_
_symmetry_equiv_pos_as_xyz
'x,y,z'
'-x,-y,-z'
'-x,y,-z'
'x,-y,z'
'x+1/2,y+1/2,z'
'-x+1/2,-y+1/2,-z'
'-x+1/2,y+1/2,-z'
'x+1/2,-y+1/2,z'
loop_
_atom_site_label
_atom_site_fract_x
_atom_site_fract_y
_atom_site_fract_z
Tl1 0.000 0.000 0.000
Pb1 0.000 0.270 0.500
Pb2 0.000 0.500 0.000
Br1 0.000 0.000 0.500
Br2 0.155 0.500 0.722
Br3 0.169 0.288 0.227
```

Summary:
M_tot in Bohr magnetons per cell: 0.0
ΔE_f (raw) in meV per atom: -870
Theoretical density in g cm⁻³: 5.84